P.
Compound: PrDyNi8B2
Source: the Open Quantum Materials Database
Functional: PBE
Structure: optimized geometry

```
PrDyNi8B2
1.0
5.031 0.000 0.000
-2.516 4.357 0.000
0.000 0.000 7.004
Dy Ni Pr B
1 8 1 2
direct
0.000 0.000 0.000 Dy
0.000 0.500 0.204 Ni
0.500 0.500 0.796 Ni
0.500 0.000 0.204 Ni
0.500 0.000 0.796 Ni
0.667 0.333 0.500 Ni
0.000 0.500 0.796 Ni
0.333 0.667 0.500 Ni
0.500 0.500 0.204 Ni
0.000 0.000 0.500 Pr
0.333 0.667 0.000 B
0.667 0.333 0.000 B
```

Total magnetization in μB per formula unit: 0.003
Space group: No. 191

Q.
Compound: PrDyNi8B2
Source: the Open Quantum Materials Database
Functional: PBE
Structure: optimized geometry

```
PrDyNi8B2
1.0
5.043 0.000 0.000
-2.522 4.367 0.000
0.000 0.000 6.984
Ni B Dy Pr
8 2 1 1
direct
0.500 0.000 0.209 Ni
0.333 0.667 0.500 Ni
0.667 0.333 0.500 Ni
0.500 0.500 0.791 Ni
0.500 0.000 0.791 Ni
0.500 0.500 0.209 Ni
0.000 0.500 0.209 Ni
0.000 0.500 0.791 Ni
0.667 0.333 0.000 B
0.333 0.667 0.000 B
0.000 0.000 0.500 Dy
0.000 0.000 0.000 Pr
```

Total magnetization in μB per formula unit: 0.006
Space group: No. 191

What are the relative energies? In eV/atom: P 0.000; Q 0.040.